NaNdHg PBE optimized geometry; symmetry = P-6m2; energy relative to the elements = -34.3 kJ/mol of formula units; energy relative to the lowest polymorph listed for this composition = 90.6 meV/atom; VASP energy = -2.248 eV per atom
1.0
5.265 0.000 0.000
-2.632 4.560 0.000
0.000 0.000 3.445
Na Nd Hg
1 1 1
direct
0.000 0.000 0.000
0.667 0.333 0.500
0.333 0.667 0.000